Entry 1:
ScReBr: optimized geometry, GGA-PBE.

Results
Crystal system ... trigonal
DOS(E_F) ... 2.225 states/eV/cell
E above lowest polymorph ... 0.0000 eV per atom
Final energy ... -6.6419 eV per atom

Cell: 3.196 3.196 7.186 Å, 90.00 90.00 120.00°
Fractional positions:
Br1 0.000 0.000 0.943
Re1 0.667 0.333 0.388
Sc1 0.333 0.667 0.669

---

Entry 2:
KBa4Cl: optimized geometry, GGA-PBE.

Results
Crystal system ... cubic
DOS(E_F) ... 9.408 states/eV/cell
Final energy ... -1.7528 eV per atom

Cell: 8.297 8.297 8.297 Å, 60.00 60.00 60.00°
Fractional positions:
K1 0.000 0.000 0.000
Ba1 0.876 0.375 0.375
Ba2 0.375 0.375 0.876
Ba3 0.375 0.876 0.375
Ba4 0.375 0.375 0.375
Cl1 0.750 0.750 0.750

---

Entry 3:
NaTePtO6: optimized geometry, GGA-PBE.

Results
Crystal system ... trigonal
DOS(E_F) ... 12.510 states/eV/cell
Final energy ... -5.3919 eV per atom

Cell: 5.263 5.263 10.409 Å, 90.00 90.00 120.00°
Fractional positions:
Na1 0.000 0.000 0.000
Na2 0.000 0.000 0.500
Te1 0.667 0.333 0.250
Te2 0.333 0.667 0.750
Pt1 0.333 0.667 0.250
Pt2 0.667 0.333 0.750
O1 0.635 0.630 0.146
O2 0.995 0.365 0.146
O3 0.365 0.995 0.646
O4 0.005 0.635 0.854
O5 0.370 0.365 0.354
O6 0.995 0.630 0.354
O7 0.630 0.995 0.854
O8 0.635 0.005 0.354
O9 0.005 0.370 0.646
O10 0.370 0.005 0.146
O11 0.630 0.635 0.646
O12 0.365 0.370 0.854

---

Entry 4:
PuFeTc: optimized geometry, GGA-PBE.

Results
Crystal system ... tetragonal
DOS(E_F) ... 6.634 states/eV/cell
E above lowest polymorph ... 0.1817 eV per atom
Final energy ... -10.8612 eV per atom
Energy of formation ... 0.19 eV per atom

Cell: 3.609 3.609 4.642 Å, 112.87 112.87 90.00°
Fractional positions:
Pu1 0.950 0.950 0.899
Fe1 0.642 0.642 0.283
Tc1 0.259 0.259 0.518

---

Q: What is the final energy in the fourth record?
A: -10.8612 eV per atom

---

Q: Which formula does entry 2 have?
A: KBa4Cl